(1)
Computed, not measured: a geometry-optimized LaTc2BC structure at the PBE level of DFT.

Calculated volume, Å³ per cell: 79
Theoretical density, g/cm3: 7.56
Raw total energy, eV/atom: -7.55
Energy of formation from the pure elements, meV per atom: 761

Cell lengths 4.077, 4.728, 4.077 Å; angles 90.00, 90.00, 90.00 degrees
Sites, in units of the cell vectors:
C 0.000 0.000 0.000
B 0.000 0.500 0.000
Tc 0.000 0.000 0.500
Tc 0.500 0.000 0.000
La 0.500 0.500 0.500

=====

(2)
Computed, not measured: a geometry-optimized CaPtW structure at the PBE level of DFT.

Calculated volume, Å³ per cell: 60
Theoretical density, g/cm3: 11.62
Raw total energy, eV/atom: -6.88
Energy of formation from the pure elements, meV per atom: 120

Cell lengths 6.670, 6.670, 3.082 Å; angles 76.65, 76.64, 26.71 degrees
Sites, in units of the cell vectors:
Ca 0.997 0.997 0.003
W 0.692 0.692 0.308
Pt 0.311 0.311 0.689

=====

(3)
Computed, not measured: a geometry-optimized Sc2GaMo structure at the PBE level of DFT.

Calculated volume, Å³ per cell: 155
Theoretical density, g/cm3: 5.49
Raw total energy, eV/atom: -6.27
Energy of formation from the pure elements, meV per atom: 359

Cell lengths 3.944, 3.944, 10.324 Å; angles 78.99, 78.99, 90.00 degrees
Sites, in units of the cell vectors:
Sc 0.631 0.125 0.250
Sc 0.119 0.625 0.250
Sc 0.375 0.369 0.750
Sc 0.875 0.881 0.750
Mo 0.000 0.000 0.000
Mo 0.750 0.250 0.500
Ga 0.500 0.500 0.000
Ga 0.250 0.750 0.500

=====

(4)
Computed, not measured: a geometry-optimized Pr2Sc3Sn4 structure at the PBE level of DFT.

Polymorph energy (0 for the lowest one), meV/atom: 0
Calculated volume, Å³ per cell: 477
Theoretical density, g/cm3: 6.21
Raw total energy, eV/atom: -5.72
Energy of formation from the pure elements, meV per atom: -770

Cell lengths 7.843, 8.035, 8.057 Å; angles 90.00, 90.00, 110.05 degrees
Sites, in units of the cell vectors:
Pr 0.561 0.192 0.326
Pr 0.939 0.808 0.826
Pr 0.439 0.808 0.674
Pr 0.061 0.192 0.174
Sc 0.000 0.500 0.500
Sc 0.500 0.500 0.000
Sc 0.746 0.251 0.837
Sc 0.754 0.749 0.337
Sc 0.254 0.749 0.163
Sc 0.246 0.251 0.663
Sn 0.852 0.086 0.545
Sn 0.648 0.914 0.045
Sn 0.148 0.914 0.455
Sn 0.352 0.086 0.955
Sn 0.861 0.498 0.136
Sn 0.639 0.502 0.636
Sn 0.139 0.502 0.864
Sn 0.361 0.498 0.364

=====

(5)
Computed, not measured: a geometry-optimized Nd4HoTm2Th structure at the PBE level of DFT.

Calculated volume, Å³ per cell: 265
Theoretical density, g/cm3: 8.22
Raw total energy, eV/atom: -4.96
Energy of formation from the pure elements, meV per atom: 43

Cell lengths 5.117, 6.240, 9.515 Å; angles 89.84, 74.40, 65.79 degrees
Sites, in units of the cell vectors:
Nd 0.125 0.126 0.623
Nd 0.376 0.375 0.873
Nd 0.875 0.874 0.377
Nd 0.624 0.625 0.127
Ho 0.000 0.000 0.000
Tm 0.753 0.745 0.748
Tm 0.247 0.255 0.252
Th 0.500 0.500 0.500

=====

(6)
Computed, not measured: a geometry-optimized SbOs3 structure at the PBE level of DFT.

Raw formation energy, eV/f.u.: 2.18
Calculated volume, Å³ per cell: 64
Theoretical density, g/cm3: 18.04
Raw total energy, eV/atom: -8.91

Cell lengths 4.841, 4.841, 4.784 Å; angles 82.84, 82.84, 34.99 degrees
Sites, in units of the cell vectors:
Os 0.500 0.500 0.500
Os 0.236 0.236 0.273
Os 0.764 0.764 0.727
Sb 0.000 0.000 0.000

=====

(7)
Computed, not measured: a geometry-optimized NaRe2TcO structure at the PBE level of DFT.

Raw formation energy, eV/f.u.: 2.62
Calculated volume, Å³ per cell: 69
Theoretical density, g/cm3: 12.22
Raw total energy, eV/atom: -7.78

Cell lengths 4.049, 4.221, 4.049 Å; angles 90.00, 90.00, 90.00 degrees
Sites, in units of the cell vectors:
Re 0.000 0.000 0.500
Re 0.500 0.000 0.000
Tc 0.500 0.500 0.500
O 0.000 0.000 0.000
Na 0.000 0.500 0.000

=====

(8)
Computed, not measured: a geometry-optimized EuAgGe structure at the PBE level of DFT.

Calculated volume, Å³ per cell: 140
Theoretical density, g/cm3: 7.86
Raw total energy, eV/atom: -6.37
Energy of formation from the pure elements, meV per atom: -457

Cell lengths 5.896, 5.896, 7.655 Å; angles 50.76, 50.76, 46.70 degrees
Sites, in units of the cell vectors:
Eu 0.539 0.539 0.705
Eu 0.461 0.461 0.295
Ag 0.173 0.173 0.273
Ag 0.827 0.827 0.727
Ge 0.845 0.845 0.108
Ge 0.155 0.155 0.892

=====

Repeat the fourth record exactly.
Computed, not measured: a geometry-optimized Pr2Sc3Sn4 structure at the PBE level of DFT.

Polymorph energy (0 for the lowest one), meV/atom: 0
Calculated volume, Å³ per cell: 477
Theoretical density, g/cm3: 6.21
Raw total energy, eV/atom: -5.72
Energy of formation from the pure elements, meV per atom: -770

Cell lengths 7.843, 8.035, 8.057 Å; angles 90.00, 90.00, 110.05 degrees
Sites, in units of the cell vectors:
Pr 0.561 0.192 0.326
Pr 0.939 0.808 0.826
Pr 0.439 0.808 0.674
Pr 0.061 0.192 0.174
Sc 0.000 0.500 0.500
Sc 0.500 0.500 0.000
Sc 0.746 0.251 0.837
Sc 0.754 0.749 0.337
Sc 0.254 0.749 0.163
Sc 0.246 0.251 0.663
Sn 0.852 0.086 0.545
Sn 0.648 0.914 0.045
Sn 0.148 0.914 0.455
Sn 0.352 0.086 0.955
Sn 0.861 0.498 0.136
Sn 0.639 0.502 0.636
Sn 0.139 0.502 0.864
Sn 0.361 0.498 0.364

=====

Q: What is the calculated volume in the fifth record?
A: 265 Å³ per cell

=====

Q: What is the formula in the fifth record?
A: Nd4HoTm2Th

=====

Q: What is the calculated volume in the first record?
A: 79 Å³ per cell